Entry one
The following is a DFT calculation (GGA-PBE) of InSi2Pd7 after structural relaxation.

abc: 4.414 6.871 6.872
angles: 115.64 90.00 90.00
Sites, in units of the cell vectors:
Si (0.500, 0.699, 0.301)
Si (0.500, 0.301, 0.699)
In (0.000, 0.000, 0.000)
Pd (0.000, 0.764, 0.236)
Pd (0.500, 0.318, 0.064)
Pd (0.500, 0.682, 0.936)
Pd (0.500, 0.500, 0.500)
Pd (0.000, 0.236, 0.764)
Pd (0.500, 0.936, 0.682)
Pd (0.500, 0.064, 0.318)

Computed properties:
symmetry: Cmmm, No. 65

=====

Entry two
The following is a DFT calculation (GGA-PBE) of InSi2Pd7 after structural relaxation.

abc: 4.017 4.017 10.296
angles: 101.25 101.25 90.00
Sites, in units of the cell vectors:
Pd (0.394, 0.894, 0.789)
Pd (0.250, 0.750, 0.500)
Pd (0.894, 0.394, 0.789)
Pd (0.500, 0.500, 0.000)
Pd (0.106, 0.606, 0.211)
Pd (0.606, 0.106, 0.211)
Pd (0.750, 0.250, 0.500)
Si (0.325, 0.325, 0.651)
Si (0.675, 0.675, 0.349)
In (0.000, 0.000, 0.000)

Computed properties:
symmetry: I4/mmm, No. 139

=====

The structure with the least stability is entry one.

=====

Entry one
The following is a DFT calculation (GGA-PBE) of Sm2InPd after structural relaxation.

abc: 3.602 3.602 7.872
angles: 90.00 90.00 90.00
Sites, in units of the cell vectors:
Sm (0.000, 0.000, 0.225)
Sm (0.000, 0.000, 0.775)
Pd (0.500, 0.500, 0.000)
In (0.500, 0.500, 0.500)

Computed properties:
symmetry: P4/mmm, No. 123

=====

Entry two
The following is a DFT calculation (GGA-PBE) of Sm2InPd after structural relaxation.

abc: 3.911 3.911 8.866
angles: 77.26 77.26 60.00
Sites, in units of the cell vectors:
In (0.500, 0.500, 0.500)
Sm (0.738, 0.738, 0.786)
Sm (0.262, 0.262, 0.214)
Pd (0.000, 0.000, 0.000)

Computed properties:
symmetry: R-3m, No. 166

=====

The structure with the least stability is entry two.

=====

Entry one
The following is a DFT calculation (GGA-PBE) of Sm2In5Pd3 after structural relaxation.

abc: 6.059 9.319 9.319
angles: 70.96 71.03 71.03
Sites, in units of the cell vectors:
Sm (0.157, 0.557, 0.128)
Sm (0.343, 0.872, 0.443)
Sm (0.843, 0.443, 0.872)
Sm (0.657, 0.128, 0.557)
In (0.949, 0.801, 0.801)
In (0.449, 0.801, 0.801)
In (0.925, 0.887, 0.262)
In (0.425, 0.262, 0.887)
In (0.250, 0.500, 0.500)
In (0.575, 0.738, 0.113)
In (0.051, 0.199, 0.199)
In (0.075, 0.113, 0.738)
In (0.750, 0.500, 0.500)
In (0.551, 0.199, 0.199)
Pd (0.250, 0.000, 0.000)
Pd (0.152, 0.262, 0.435)
Pd (0.348, 0.565, 0.738)
Pd (0.652, 0.435, 0.262)
Pd (0.848, 0.738, 0.565)
Pd (0.750, 0.000, 0.000)

Computed properties:
symmetry: Ibam, No. 72

=====

Entry two
The following is a DFT calculation (GGA-PBE) of Sm2In5Pd3 after structural relaxation.

abc: 4.569 7.308 13.617
angles: 90.00 99.66 90.00
Sites, in units of the cell vectors:
In (0.053, 0.605, 0.105)
In (0.876, 0.754, 0.751)
In (0.124, 0.254, 0.249)
In (0.709, 0.997, 0.417)
In (0.401, 0.405, 0.803)
In (0.947, 0.105, 0.895)
In (0.599, 0.905, 0.197)
In (0.291, 0.497, 0.583)
In (0.707, 0.408, 0.413)
In (0.293, 0.908, 0.587)
Pd (0.391, 0.019, 0.783)
Pd (0.609, 0.519, 0.217)
Pd (0.227, 0.200, 0.455)
Pd (0.954, 0.494, 0.908)
Pd (0.773, 0.700, 0.545)
Pd (0.046, 0.994, 0.092)
Sm (0.522, 0.275, 0.043)
Sm (0.825, 0.207, 0.651)
Sm (0.478, 0.775, 0.957)
Sm (0.175, 0.707, 0.349)

Computed properties:
symmetry: Cmc2_1, No. 36

=====

The structure with the least stability is entry one.